Below is a geometry-optimized Mo3P3Se structure, with properties calculated at the PBE level.

Geometry as POSCAR:
```
Mo3P3Se
1.0
7.1126 1.2494 0.0000
-2.8524 8.0808 0.0000
0.0000 0.0000 4.5267
P Mo Se
6 6 2
direct
0.4034 0.0081 0.2500
0.8430 0.2705 0.2500
0.7742 0.7034 0.2500
0.5966 0.9919 0.7500
0.1570 0.7296 0.7500
0.2258 0.2966 0.7500
0.0944 0.8403 0.2500
0.1425 0.1698 0.2500
0.7452 0.9873 0.2500
0.9056 0.1597 0.7500
0.8575 0.8302 0.7500
0.2548 0.0127 0.7500
0.6235 0.4368 0.2500
0.3765 0.5632 0.7500
```

Properties
* final energy: -106.0 eV per cell
* relative energy among the computed polymorphs: 0.017 eV per atom
* spin magnetization: 0.0 μB/cell